Entry 1:
# MnCrB

A relaxed MnCrB crystal (PBE, the Alexandria database).

Computed properties:
Crystal system: monoclinic
Magnetization, μB per formula unit: 0.000
Excess energy over the best structure of this formula in the dataset, meV per atom: 441
Calculated density, g/cm3: 6.78
VASP energy, eV per atom: -8.443

```
MnCrB
1.0
5.243 0.000 -0.004
0.000 2.797 0.000
-1.722 0.000 3.936
Cr B Mn
2 2 2
direct
0.623 0.500 0.411 Cr
0.623 0.000 0.911 Cr
0.314 0.500 0.614 B
0.314 0.000 0.114 B
0.029 0.500 0.121 Mn
0.029 0.000 0.621 Mn
```

***

Entry 2:
# Mn2CrB4

A relaxed Mn2CrB4 crystal (PBE, the Alexandria database).

Computed properties:
Crystal system: orthorhombic
Magnetization, μB per formula unit: 3.293
Calculated density, g/cm3: 6.12
VASP energy, eV per atom: -8.273

```
Mn2CrB4
1.0
2.877 0.000 -0.656
-0.154 2.888 -0.675
0.010 0.035 6.683
B Mn Cr
4 2 1
direct
0.356 0.356 0.712 B
0.068 0.568 0.136 B
0.644 0.644 0.288 B
0.932 0.432 0.864 B
0.815 0.815 0.629 Mn
0.185 0.185 0.371 Mn
0.500 0.000 0.000 Cr
```

***

Entry 3:
# MnCrB

A relaxed MnCrB crystal (PBE, the Alexandria database).

Computed properties:
Crystal system: orthorhombic
Magnetization, μB per formula unit: 0.000
Excess energy over the best structure of this formula in the dataset, meV per atom: 291
Calculated density, g/cm3: 6.78
VASP energy, eV per atom: -8.594

```
MnCrB
1.0
-0.361 1.477 -2.223
-1.147 -2.183 -1.264
-6.957 2.167 2.571
B Mn Cr
2 2 2
direct
0.500 0.000 0.152 B
0.500 0.500 0.652 B
0.000 0.000 0.747 Mn
0.000 0.500 0.247 Mn
0.500 0.000 0.445 Cr
0.500 0.500 0.945 Cr
```

***

Entry 4:
# Mn3Cr3B4

A relaxed Mn3Cr3B4 crystal (PBE, the Alexandria database).

Computed properties:
Crystal system: orthorhombic
Magnetization, μB per formula unit: 3.981
Calculated density, g/cm3: 6.87
VASP energy, eV per atom: -8.730

```
Mn3Cr3B4
1.0
-0.862 -1.657 -2.221
2.639 -4.308 2.189
-4.519 -1.414 2.810
B Cr Mn
4 3 3
direct
0.000 0.886 0.881 B
0.000 0.119 0.114 B
0.000 0.615 0.385 B
0.000 0.381 0.619 B
0.500 0.325 0.327 Cr
0.500 0.673 0.675 Cr
0.500 0.825 0.175 Cr
0.000 0.502 0.001 Mn
0.000 0.999 0.498 Mn
0.500 0.175 0.825 Mn
```